(1)
# Li2ZrZnH (PBE-GGA, relaxed)
data_Li2ZrZnH
_chemical_formula_sum 'Li2 Zr1 Zn1 H1'
_space_group_name_H-M_alt 'P 4/m m m'
_space_group_IT_number 123
_space_group_name_Hall '-P 4 2'
_cell_length_a 3.948
_cell_length_b 3.948
_cell_length_c 4.446
_cell_angle_alpha 90.00
_cell_angle_beta 90.00
_cell_angle_gamma 90.00
loop_
_atom_site_label
_atom_site_type_symbol
_atom_site_fract_x
_atom_site_fract_y
_atom_site_fract_z
Li1 Li 0.000 0.500 0.000
Zr1 Zr 0.000 0.000 0.500
Zn1 Zn 0.500 0.500 0.500
H1 H 0.000 0.000 0.000
# ρ, g/cm³: 4.11
# Raw total energy, eV per atom: -3.5066
# Crystal system: tetragonal

(2)
# TmSbAu2 (PBE-GGA, relaxed)
data_TmSbAu2
_chemical_formula_sum 'Tm1 Sb1 Au2'
_space_group_name_H-M_alt 'P 4/m m m'
_space_group_IT_number 123
_space_group_name_Hall '-P 4 2'
_cell_length_a 3.779
_cell_length_b 3.779
_cell_length_c 6.223
_cell_angle_alpha 90.00
_cell_angle_beta 90.00
_cell_angle_gamma 90.00
loop_
_atom_site_label
_atom_site_type_symbol
_atom_site_fract_x
_atom_site_fract_y
_atom_site_fract_z
Tm1 Tm 0.000 0.000 0.000
Sb1 Sb 0.000 0.000 0.500
Au1 Au 0.500 0.500 0.236
# ρ, g/cm³: 12.79
# Raw total energy, eV per atom: -4.3567
# Crystal system: tetragonal

(3)
# Ir4Cl (PBE-GGA, relaxed)
data_Ir4Cl
_chemical_formula_sum 'Ir4 Cl1'
_space_group_name_H-M_alt 'P m -3 m'
_space_group_IT_number 221
_space_group_name_Hall '-P 4 2 3'
_cell_length_a 4.371
_cell_length_b 4.371
_cell_length_c 4.371
_cell_angle_alpha 90.00
_cell_angle_beta 90.00
_cell_angle_gamma 90.00
loop_
_atom_site_label
_atom_site_type_symbol
_atom_site_fract_x
_atom_site_fract_y
_atom_site_fract_z
Ir1 Ir 0.000 0.000 0.000
Ir2 Ir 0.000 0.500 0.500
Cl1 Cl 0.500 0.500 0.500
# ρ, g/cm³: 15.99
# Raw total energy, eV per atom: -5.6523
# Crystal system: cubic

(4)
# TiReSeBr2 (PBE-GGA, relaxed)
data_TiReSeBr2
_chemical_formula_sum 'Ti1 Re1 Se1 Br2'
_space_group_name_H-M_alt 'P 4/m m m'
_space_group_IT_number 123
_space_group_name_Hall '-P 4 2'
_cell_length_a 5.265
_cell_length_b 5.265
_cell_length_c 4.688
_cell_angle_alpha 90.00
_cell_angle_beta 90.00
_cell_angle_gamma 90.00
loop_
_atom_site_label
_atom_site_type_symbol
_atom_site_fract_x
_atom_site_fract_y
_atom_site_fract_z
Ti1 Ti 0.000 0.000 0.000
Re1 Re 0.500 0.500 0.500
Se1 Se 0.500 0.500 0.000
Br1 Br 0.000 0.500 0.500
# ρ, g/cm³: 6.04
# Raw total energy, eV per atom: -4.7193
# Crystal system: tetragonal

(5)
# Ag2TeAu (PBE-GGA, relaxed)
data_Ag2TeAu
_chemical_formula_sum 'Ag4 Te2 Au2'
_space_group_name_H-M_alt 'C 1 2/m 1'
_space_group_IT_number 12
_space_group_name_Hall '-C 2y'
_cell_length_a 8.658
_cell_length_b 3.038
_cell_length_c 6.697
_cell_angle_alpha 90.00
_cell_angle_beta 98.08
_cell_angle_gamma 90.00
loop_
_atom_site_label
_atom_site_type_symbol
_atom_site_fract_x
_atom_site_fract_y
_atom_site_fract_z
Ag1 Ag 0.244 0.000 0.219
Te1 Te 0.000 0.000 0.500
Au1 Au 0.000 0.500 0.000
# ρ, g/cm³: 10.29
# Raw total energy, eV per atom: -2.9464
# Crystal system: monoclinic

(6)
# Sr3Ca7Ag4 (PBE-GGA, relaxed)
data_Sr3Ca7Ag4
_chemical_formula_sum 'Sr6 Ca14 Ag8'
_space_group_name_H-M_alt 'C 1 2/m 1'
_space_group_IT_number 12
_space_group_name_Hall '-C 2y'
_cell_length_a 19.968
_cell_length_b 4.634
_cell_length_c 12.585
_cell_angle_alpha 90.00
_cell_angle_beta 122.38
_cell_angle_gamma 90.00
loop_
_atom_site_label
_atom_site_type_symbol
_atom_site_fract_x
_atom_site_fract_y
_atom_site_fract_z
Sr1 Sr 0.000 0.000 0.000
Sr2 Sr 0.189 0.500 0.699
Ca1 Ca 0.000 0.000 0.500
Ca2 Ca 0.006 0.500 0.271
Ca3 Ca 0.170 0.000 0.427
Ca4 Ca 0.183 0.500 0.023
Ag1 Ag 0.120 0.000 0.819
Ag2 Ag 0.165 0.500 0.258
# ρ, g/cm³: 3.29
# Formation energy, eV per formula unit: -2.47
# Crystal system: monoclinic

(7)
# LaSi2Tc2C (PBE-GGA, relaxed)
data_LaSi2Tc2C
_chemical_formula_sum 'La1 Si2 Tc2 C1'
_space_group_name_H-M_alt 'P 4/m m m'
_space_group_IT_number 123
_space_group_name_Hall '-P 4 2'
_cell_length_a 4.181
_cell_length_b 4.181
_cell_length_c 5.404
_cell_angle_alpha 90.00
_cell_angle_beta 90.00
_cell_angle_gamma 90.00
loop_
_atom_site_label
_atom_site_type_symbol
_atom_site_fract_x
_atom_site_fract_y
_atom_site_fract_z
La1 La 0.000 0.000 0.000
Si1 Si 0.500 0.500 0.226
Tc1 Tc 0.000 0.500 0.500
C1 C 0.000 0.000 0.500
# ρ, g/cm³: 7.08
# Raw total energy, eV per atom: -8.1360
# Crystal system: tetragonal

(8)
# Fe3Pt (PBE-GGA, relaxed)
data_Fe3Pt
_chemical_formula_sum 'Fe12 Pt4'
_space_group_name_H-M_alt 'C m c m'
_space_group_IT_number 63
_space_group_name_Hall '-C 2c 2'
_cell_length_a 8.211
_cell_length_b 6.203
_cell_length_c 4.108
_cell_angle_alpha 90.00
_cell_angle_beta 90.00
_cell_angle_gamma 90.00
loop_
_atom_site_label
_atom_site_type_symbol
_atom_site_fract_x
_atom_site_fract_y
_atom_site_fract_z
Fe1 Fe 0.000 0.109 0.250
Fe2 Fe 0.241 0.379 0.250
Pt1 Pt 0.000 0.349 0.750
# ρ, g/cm³: 11.51
# Formation energy, eV per formula unit: -0.30
# Crystal system: orthorhombic

(9)
# Sm6Si2Te3Br (PBE-GGA, relaxed)
data_Sm6Si2Te3Br
_chemical_formula_sum 'Sm12 Si4 Te6 Br2'
_space_group_name_H-M_alt 'C 1 2/m 1'
_space_group_IT_number 12
_space_group_name_Hall '-C 2y'
_cell_length_a 19.071
_cell_length_b 4.295
_cell_length_c 8.806
_cell_angle_alpha 90.00
_cell_angle_beta 103.52
_cell_angle_gamma 90.00
loop_
_atom_site_label
_atom_site_type_symbol
_atom_site_fract_x
_atom_site_fract_y
_atom_site_fract_z
Sm1 Sm 0.017 0.000 0.264
Sm2 Sm 0.173 0.500 0.568
Sm3 Sm 0.174 0.500 0.118
Si1 Si 0.169 0.000 0.335
Te1 Te 0.000 0.500 0.500
Te2 Te 0.158 0.000 0.837
Br1 Br 0.000 0.500 0.000
# ρ, g/cm³: 6.73
# Raw total energy, eV per atom: -5.3994
# Crystal system: monoclinic

(10)
# NaGaN2 (PBE-GGA, relaxed)
data_NaGaN2
_chemical_formula_sum 'Na3 Ga3 N6'
_space_group_name_H-M_alt 'R -3 m'
_space_group_IT_number 166
_space_group_name_Hall '-R 3 2"'
_cell_length_a 3.2045
_cell_length_b 3.2045
_cell_length_c 19.1961
_cell_angle_alpha 90.00
_cell_angle_beta 90.00
_cell_angle_gamma 120.00
loop_
_atom_site_label
_atom_site_type_symbol
_atom_site_fract_x
_atom_site_fract_y
_atom_site_fract_z
Na1 Na 0.0000 0.0000 0.0000
Ga1 Ga 0.0000 0.0000 0.5000
N1 N 0.0000 0.0000 0.1160
# ρ, g/cm³: 3.52
# Raw total energy, eV per atom: -4.5298
# Crystal system: trigonal

(11)
# TlPt2Au (PBE-GGA, relaxed)
data_TlPt2Au
_chemical_formula_sum 'Tl4 Pt8 Au4'
_space_group_name_H-M_alt 'F -4 3 m'
_space_group_IT_number 216
_space_group_name_Hall 'F -4 2 3'
_cell_length_a 6.609
_cell_length_b 6.609
_cell_length_c 6.609
_cell_angle_alpha 90.00
_cell_angle_beta 90.00
_cell_angle_gamma 90.00
loop_
_atom_site_label
_atom_site_type_symbol
_atom_site_fract_x
_atom_site_fract_y
_atom_site_fract_z
Tl1 Tl 0.000 0.000 0.000
Pt1 Pt 0.000 0.000 0.500
Pt2 Pt 0.250 0.250 0.750
Au1 Au 0.250 0.250 0.250
# ρ, g/cm³: 18.21
# Formation energy, eV per formula unit: 0.42
# Crystal system: cubic

(12)
# Tb2Ga3GeRh4 (PBE-GGA, relaxed)
data_Tb2Ga3GeRh4
_chemical_formula_sum 'Tb2 Ga3 Ge1 Rh4'
_space_group_name_H-M_alt 'P -4 m 2'
_space_group_IT_number 115
_space_group_name_Hall 'P -4 -2'
_cell_length_a 4.300
_cell_length_b 4.300
_cell_length_c 9.846
_cell_angle_alpha 90.00
_cell_angle_beta 90.00
_cell_angle_gamma 90.00
loop_
_atom_site_label
_atom_site_type_symbol
_atom_site_fract_x
_atom_site_fract_y
_atom_site_fract_z
Tb1 Tb 0.000 0.500 0.238
Ga1 Ga 0.000 0.500 0.873
Ga2 Ga 0.500 0.500 0.500
Ge1 Ge 0.000 0.000 0.500
Rh1 Rh 0.000 0.000 0.000
Rh2 Rh 0.000 0.500 0.625
Rh3 Rh 0.500 0.500 0.000
# ρ, g/cm³: 9.23
# Formation energy, eV per formula unit: -8.04
# Crystal system: tetragonal

> Number 6 is which compound?

Sr3Ca7Ag4

> What is the ρ in the eleventh record?

18.21 g/cm³

> Which value of ρ does entry 8 give?

11.51 g/cm³

> Which value of ρ does entry 6 give?

3.29 g/cm³